[1]
Computed, not measured: a geometry-optimized AgRu2Pt structure at the PBE level of DFT.

Properties
The calculation puts the energy of formation from the pure elements at 409 meV/atom.

Lattice parameters (Å, degrees): 2.7585 4.6046 9.9768 90.00 90.00 90.00
Closest atoms and distances in Å follow each position.
Positions (direct):
Ag  0.0000  0.0000  0.0000  4 Pt 2.68, 2 Ag 2.76
Ag  0.5000  0.5000  0.5000  4 Pt 2.68, 2 Ag 2.76
Ru  0.0000  0.5000  0.2252  2 Pt 2.64, 6 Ru 2.73-2.76
Ru  0.0000  0.5000  0.7748  2 Pt 2.64, 6 Ru 2.73-2.76
Ru  0.5000  0.0000  0.2748  2 Pt 2.64, 6 Ru 2.73-2.76
Ru  0.5000  0.0000  0.7252  2 Pt 2.64, 6 Ru 2.73-2.76
Pt  0.0000  0.0000  0.5000  4 Ru 2.64, 4 Ag 2.68, 2 Pt 2.76
Pt  0.5000  0.5000  0.0000  4 Ru 2.64, 4 Ag 2.68, 2 Pt 2.76

***

[2]
Computed, not measured: a geometry-optimized AgRu2Pt structure at the PBE level of DFT.

Properties
The calculation puts the energy of formation from the pure elements at 239 meV/atom.

Lattice parameters (Å, degrees): 2.7697 3.8257 5.7637 90.00 90.00 90.00
Closest atoms and distances in Å follow each position.
Positions (direct):
Ag  0.0000  0.0000  0.0000  6 Ru 2.77-3.00, 2 Ag 2.77, 4 Pt 2.80
Ru  0.0000  0.0000  0.5200  6 Ru 2.64-2.77, 1 Ag 2.77, 4 Pt 2.80
Ru  0.5000  0.5000  0.7238  6 Ru 2.64-2.77, 1 Pt 2.67, 4 Ag 2.85
Pt  0.5000  0.5000  0.2605  5 Ru 2.67-2.80, 2 Pt 2.77, 4 Ag 2.80

***

| no. | excess energy over the best structure of this formula in the dataset (meV/atom) |
| --- | --- |
| 1 | 289 |
| 2 | 119 |